# RbCaVTePdF | the Alexandria database | PBE+U | relaxed
data_RbCaVTePdF
_symmetry_space_group_name_H-M 'P 3 m 1'
_symmetry_Int_Tables_number 156
_cell_length_a 4.1121
_cell_length_b 4.1121
_cell_length_c 11.1149
_cell_angle_alpha 90.00
_cell_angle_beta 90.00
_cell_angle_gamma 120.00
loop_
_symmetry_equiv_pos_as_xyz
'x,y,z'
'-y,x-y,z'
'-x+y,-x,z'
'-y,-x,z'
'-x+y,y,z'
'x,x-y,z'
loop_
_atom_site_label
_atom_site_fract_x
_atom_site_fract_y
_atom_site_fract_z
Rb1 0.0000 0.0000 0.0000
Ca1 0.3333 0.6667 0.3542
V1 0.0000 0.0000 0.6755
Te1 0.6667 0.3333 0.5309
Pd1 0.3333 0.6667 0.7952
F1 0.0000 0.0000 0.2640
# **Offset from the most stable computed form**: 0.083 eV per atom